An optimized crystal structure of CrIn2F6. Source: Alexandria via LeMat-Bulk, functional PBE with a Hubbard U.

Cell lengths 5.6888, 5.6888, 5.0656 Å; angles 90.00, 90.00, 120.00 degrees
Closest atoms and distances in Å follow each position.
Fractional positions:
Cr  0.0000  0.0000  0.0000  6 F 1.97
In  0.3333  0.6667  0.5000  6 F 2.48
In  0.6667  0.3333  0.5000  6 F 2.48
F  0.0000  0.2843  0.2231  1 Cr 1.97
F  0.0000  0.7157  0.7769  1 Cr 1.97
F  0.2843  0.0000  0.2231  1 Cr 1.97
F  0.2843  0.2843  0.7769  1 Cr 1.97
F  0.7157  0.0000  0.7769  1 Cr 1.97
F  0.7157  0.7157  0.2231  1 Cr 1.97

Calculated total energy ... -44.3 eV for the cell shown
N(E_F) ... 2.42 states/eV per cell